No. 1
First-principles (PBE-GGA) data for a geometry-optimized LuPbAuSe2S structure, as listed in OQMD.

Unit cell a=7.1289 b=7.1289 c=10.2590 alpha=90.00 beta=90.00 gamma=146.84
With the nearest neighbours (Å) after each atom.
Atoms (fractional coordinates):
Lu 0.0000 0.0000 0.0000  2 S 2.80, 4 Se 2.87
Lu 0.0000 0.0000 0.5000  2 S 2.80, 4 Se 2.87
Pb 0.2523 0.7477 0.7500  2 S 3.04, 6 Se 3.28-3.34
Pb 0.7477 0.2523 0.2500  2 S 3.04, 6 Se 3.28-3.34
Au 0.4660 0.5340 0.2500  2 S 2.58, 2 Se 2.59
Au 0.5340 0.4660 0.7500  2 S 2.58, 2 Se 2.59
Se 0.3554 0.6446 0.0450  1 Au 2.59, 2 Lu 2.87
Se 0.3554 0.6446 0.4550  1 Au 2.59, 2 Lu 2.87
Se 0.6446 0.3554 0.5450  1 Au 2.59, 2 Lu 2.87
Se 0.6446 0.3554 0.9550  1 Au 2.59, 2 Lu 2.87
S 0.0820 0.9180 0.2500  2 Au 2.58, 2 Lu 2.80
S 0.9180 0.0820 0.7500  2 Au 2.58, 2 Lu 2.80

Calculated total energy = -4.6749 eV/atom

***

No. 2
First-principles (PBE-GGA) data for a geometry-optimized LuPbAuSeS2 structure, as listed in OQMD.

Unit cell a=7.5058 b=7.5058 c=10.5029 alpha=90.00 beta=90.00 gamma=148.48
With the nearest neighbours (Å) after each atom.
Atoms (fractional coordinates):
Lu 0.0000 0.0000 0.0000  4 S 2.73, 2 Se 2.77
Lu 0.0000 0.0000 0.5000  4 S 2.73, 2 Se 2.77
Pb 0.2963 0.7037 0.7500  2 Se 2.90, 2 Au 3.10, 2 S 3.13
Pb 0.7037 0.2963 0.2500  2 Se 2.90, 2 Au 3.10, 2 S 3.13
Au 0.3654 0.6346 0.2500  2 S 2.35
Au 0.6346 0.3654 0.7500  2 S 2.35
Se 0.0608 0.9392 0.2500  2 Lu 2.77, 2 Pb 2.90
Se 0.9392 0.0608 0.7500  2 Lu 2.77, 2 Pb 2.90
S 0.3760 0.6240 0.0267  1 Au 2.35
S 0.3760 0.6240 0.4733  1 Au 2.35
S 0.6240 0.3760 0.5267  1 Au 2.35
S 0.6240 0.3760 0.9733  1 Au 2.35

Calculated total energy = -4.8629 eV/atom

***

No. 3
First-principles (PBE-GGA) data for a geometry-optimized LuTe2PbAuS structure, as listed in OQMD.

Unit cell a=7.6898 b=7.6898 c=10.1966 alpha=90.00 beta=90.00 gamma=147.66
With the nearest neighbours (Å) after each atom.
Atoms (fractional coordinates):
Lu 0.0000 0.0000 0.0000  2 S 2.78, 4 Te 3.10
Lu 0.0000 0.0000 0.5000  2 S 2.78, 4 Te 3.10
Te 0.3527 0.6473 0.5517  1 Au 2.79, 2 Lu 3.10
Te 0.3527 0.6473 0.9483  1 Au 2.79, 2 Lu 3.10
Te 0.6473 0.3527 0.0517  1 Au 2.79, 2 Lu 3.10
Te 0.6473 0.3527 0.4483  1 Au 2.79, 2 Lu 3.10
Pb 0.2610 0.7390 0.2500  2 S 3.22, 6 Te 3.36-3.39
Pb 0.7390 0.2610 0.7500  2 S 3.22, 6 Te 3.36-3.39
Au 0.4828 0.5172 0.7500  2 S 2.55, 2 Te 2.79
Au 0.5172 0.4828 0.2500  2 S 2.55, 2 Te 2.79
S 0.0759 0.9241 0.7500  2 Au 2.55, 2 Lu 2.78
S 0.9241 0.0759 0.2500  2 Au 2.55, 2 Lu 2.78

Calculated total energy = -4.3912 eV/atom